Entry 1:
VASP calculation (PBE-GGA) on a relaxed structure of Sc3AuC.

## Properties
- Energy of formation: -0.51 eV per atom
- Total magnetic moment: 0.00 μB/f.u.
- E above lowest polymorph: 151 meV/atom
- Uncorrected energy: -6.81 eV per atom
- Space-group type: R-3 (148)
- Volume: 19.197 Å³ per atom
- DOS(E_F): 2.4 states/eV/f.u.

CIF file:
```
data_Sc3AuC
_symmetry_space_group_name_H-M 'P 1'
_symmetry_Int_Tables_number 1
_symmetry_space_group_name_Hall 'P 1'
_cell_length_a 6.791
_cell_length_b 6.791
_cell_length_c 6.791
_cell_angle_alpha 54.29
_cell_angle_beta 54.29
_cell_angle_gamma 54.29
loop_
_atom_site_label
_atom_site_type_symbol
_atom_site_fract_x
_atom_site_fract_y
_atom_site_fract_z
Sc1 Sc 0.081 0.659 0.501
Sc2 Sc 0.341 0.499 0.919
Sc3 Sc 0.499 0.919 0.341
Sc4 Sc 0.501 0.081 0.659
Sc5 Sc 0.659 0.501 0.081
Sc6 Sc 0.919 0.341 0.499
Au1 Au 0.122 0.122 0.122
Au2 Au 0.878 0.878 0.878
C1 C 0.333 0.333 0.333
C2 C 0.667 0.667 0.667
```

Entry 2:
VASP calculation (PBE-GGA) on a relaxed structure of Sc2AuC.

## Properties
- Energy of formation: -0.31 eV per atom
- Total magnetic moment: 0.00 μB/f.u.
- Uncorrected energy: -6.60 eV per atom
- Space-group type: I-42d (122)
- Volume: 18.771 Å³ per atom
- DOS(E_F): 2.0 states/eV/f.u.

CIF file:
```
data_Sc2AuC
_symmetry_space_group_name_H-M 'P 1'
_symmetry_Int_Tables_number 1
_symmetry_space_group_name_Hall 'P 1'
_cell_length_a 5.812
_cell_length_b 5.812
_cell_length_c 5.812
_cell_angle_alpha 112.15
_cell_angle_beta 112.15
_cell_angle_gamma 104.23
loop_
_atom_site_label
_atom_site_type_symbol
_atom_site_fract_x
_atom_site_fract_y
_atom_site_fract_z
Sc1 Sc 0.044 0.625 0.919
Sc2 Sc 0.375 0.294 0.419
Sc3 Sc 0.706 0.125 0.081
Sc4 Sc 0.875 0.956 0.581
Au1 Au 0.250 0.750 0.500
Au2 Au 0.500 0.500 0.000
C1 C 0.000 0.000 0.000
C2 C 0.750 0.250 0.500
```

Computed density (Mg/m³) in order:
5.95 6.61